[1]
DFT (SCAN) results for a crystal of DyTa3 relaxed with PBEsol.

Cell: 6.764 6.764 6.764 Å, 90.00 90.00 90.00°
Space group Fm-3m (No. 225)
Unique sites:
Dy (0.000, 0.000, 0.000) x4
Ta (0.000, 0.000, 0.500) x4
Ta (0.250, 0.250, 0.250) x8

[2]
DFT (SCAN) results for a crystal of P3C relaxed with PBEsol.

Cell: 4.611 4.611 4.611 Å, 90.00 90.00 90.00°
Space group Pm-3n (No. 223)
Unique sites:
P (0.000, 0.250, 0.500) x6
C (0.000, 0.000, 0.000) x2

| no. | total magnetization (μB/cell) | calculated formation energy (eV/atom) | E_tot (eV/atom) |
| --- | --- | --- | --- |
| 1 | 0.0 | 0.385 | -61.501 |
| 2 | 0.0 | 2.071 | -8.253 |